Computed, not measured: a geometry-optimized K5ZrTe5 structure at the PBE-GGA level of DFT.

Unit cell a=16.0893 b=6.5681 c=9.4941 alpha=90.00 beta=109.25 gamma=90.00
Space group C2/m (No. 12)
One atom of each set of equivalent atoms:
K: 0.0000 0.0000 0.0000 (multiplicity 2)
K: 0.1746 0.5000 0.3479 (multiplicity 4)
K: 0.1989 0.5000 0.8126 (multiplicity 4)
Zr: 0.0000 0.0000 0.5000 (multiplicity 2)
Te: 0.0000 0.5000 0.5000 (multiplicity 2)
Te: 0.1314 0.0000 0.3549 (multiplicity 4)
Te: 0.1400 0.0000 0.7909 (multiplicity 4)

Values from the calculation:
**Electronic total energy**: -3.555 eV/atom
**Total magnetization**: 2.0 μB per cell